Te2BrCl | Alexandria | GGA-PBE | relaxed; energy = -2.128 eV/atom; energy above the lowest structure with this stoichiometry = 584 meV per atom; energy relative to the elements, uncorrected = 323 meV per atom; ρ = 5.19 g cm⁻³; magnetic moment = 0.0000 μB per atom; Fermi-level density of states = 1.09 states/eV per atom
1.0
4.0608 0.0000 0.0000
0.0000 4.0608 0.0000
0.0000 0.0000 7.1919
Te Br Cl
2 1 1
Cartesian
0.0000 0.0000 6.7496
0.0000 0.0000 4.0383
2.0304 2.0304 1.7980
2.0304 2.0304 5.3939


Te2BrCl | Alexandria | GGA-PBE | relaxed; energy = -2.183 eV/atom; energy above the lowest structure with this stoichiometry = 529 meV per atom; energy relative to the elements, uncorrected = 267 meV per atom; ρ = 6.03 g cm⁻³; magnetic moment = 0.0000 μB per atom; Fermi-level density of states = 0.80 states/eV per atom
1.0
5.7547 0.0049 0.0000
1.9975 5.3969 0.0000
-3.8761 -2.7009 3.2860
Te Br Cl
2 1 1
Cartesian
0.0000 0.0000 0.0000
3.8761 2.7009 0.0000
0.9988 2.6984 1.6430
2.8773 0.0024 1.6430


Te2BrCl | Alexandria | GGA-PBE | relaxed; energy = -2.637 eV/atom; energy above the lowest structure with this stoichiometry = 75 meV per atom; energy relative to the elements, uncorrected = -186 meV per atom; ρ = 4.10 g cm⁻³; magnetic moment = 0.0005 μB per atom; Fermi-level density of states = 0.80 states/eV per atom
1.0
4.0060 0.0000 0.0000
0.0000 7.0788 1.0310
0.0000 4.0700 5.8796
Te Br Cl
2 1 1
Cartesian
0.0000 0.0288 0.0177
2.0030 1.7469 1.0838
0.0000 5.4488 3.3776
2.0030 9.4985 5.8867